1.
# AlV2Mo PBE relaxed
data_AlV2Mo
_symmetry_space_group_name_H-M 'P m m a'
_symmetry_Int_Tables_number 51
_cell_length_a 4.426
_cell_length_b 4.307
_cell_length_c 6.086
_cell_angle_alpha 90.00
_cell_angle_beta 90.00
_cell_angle_gamma 90.00
loop_
_symmetry_equiv_pos_as_xyz
'x,y,z'
'-x,-y,-z'
'-x+1/2,-y,z'
'x+1/2,y,-z'
'x+1/2,-y,-z'
'-x+1/2,y,z'
'-x,y,-z'
'x,-y,z'
loop_
_atom_site_label
_atom_site_fract_x
_atom_site_fract_y
_atom_site_fract_z
Al1 0.250 0.000 0.124
V1 0.250 0.500 0.376
V2 0.250 0.500 0.859
Mo1 0.250 0.000 0.624
# DFT formation energy = -0.57 eV/f.u.
# Magnetic moment = 0.00 μB/cell

***

2.
# SrDyMgTl PBE relaxed
data_SrDyMgTl
_symmetry_space_group_name_H-M 'F -4 3 m'
_symmetry_Int_Tables_number 216
_symmetry_space_group_name_Hall 'F -4 2 3'
_cell_length_a 7.875
_cell_length_b 7.875
_cell_length_c 7.875
_cell_angle_alpha 90.00
_cell_angle_beta 90.00
_cell_angle_gamma 90.00
loop_
_atom_site_label
_atom_site_fract_x
_atom_site_fract_y
_atom_site_fract_z
Sr1 0.000 0.000 0.000
Dy1 0.000 0.000 0.500
Mg1 0.250 0.250 0.750
Tl1 0.250 0.250 0.250
# DFT formation energy = -0.75 eV/f.u.
# Magnetic moment = 0.00 μB/cell

***

3.
# SnAs2O7 PBE relaxed
data_SnAs2O7
_symmetry_space_group_name_H-M 'P 1 21/c 1'
_symmetry_Int_Tables_number 14
_cell_length_a 6.572
_cell_length_b 9.927
_cell_length_c 9.289
_cell_angle_alpha 90.00
_cell_angle_beta 98.17
_cell_angle_gamma 90.00
loop_
_symmetry_equiv_pos_as_xyz
'x,y,z'
'-x,-y,-z'
'-x,y+1/2,-z+1/2'
'x,-y+1/2,z+1/2'
loop_
_atom_site_label
_atom_site_fract_x
_atom_site_fract_y
_atom_site_fract_z
Sn1 0.168 0.080 0.265
As1 0.058 0.687 0.955
As2 0.385 0.709 0.740
O1 0.010 0.598 0.790
O2 0.016 0.145 0.077
O3 0.158 0.114 0.478
O4 0.187 0.686 0.148
O5 0.338 0.719 0.920
O6 0.378 0.236 0.277
O7 0.380 0.543 0.687
# Formation energy without anion corrections = -1.17 eV per atom
# Magnetic moment = 0.00 μB/cell

***

4.
# Li5Tb3Bi12 PBE relaxed
data_Li5Tb3Bi12
_symmetry_space_group_name_H-M 'I a -3 d'
_symmetry_Int_Tables_number 230
_symmetry_space_group_name_Hall '-I 4bd 2c 3'
_cell_length_a 18.066
_cell_length_b 18.066
_cell_length_c 18.066
_cell_angle_alpha 90.00
_cell_angle_beta 90.00
_cell_angle_gamma 90.00
loop_
_atom_site_label
_atom_site_fract_x
_atom_site_fract_y
_atom_site_fract_z
Li1 0.000 0.000 0.000
Li2 0.000 0.250 0.375
Tb1 0.000 0.250 0.125
Bi1 0.008 0.079 0.659
# DFT formation energy = -3.27 eV/f.u.
# Magnetic moment = 0.00 μB/cell

***

5.
# ScPaTi2 PBE relaxed
data_ScPaTi2
_symmetry_space_group_name_H-M 'F m -3 m'
_symmetry_Int_Tables_number 225
_symmetry_space_group_name_Hall '-F 4 2 3'
_cell_length_a 6.875
_cell_length_b 6.875
_cell_length_c 6.875
_cell_angle_alpha 90.00
_cell_angle_beta 90.00
_cell_angle_gamma 90.00
loop_
_atom_site_label
_atom_site_fract_x
_atom_site_fract_y
_atom_site_fract_z
Sc1 0.000 0.000 0.000
Pa1 0.000 0.000 0.500
Ti1 0.250 0.250 0.250
# DFT formation energy = 0.53 eV/f.u.
# Polymorph energy (0 for the lowest one) = 0.92 kcal/mol of atoms
# Magnetic moment = 0.84 μB/cell

***

6.
# Ca2Ac2Ru PBE relaxed
data_Ca2Ac2Ru
_symmetry_space_group_name_H-M 'I 41/a m d'
_symmetry_Int_Tables_number 141
_cell_length_a 5.141
_cell_length_b 5.141
_cell_length_c 27.356
_cell_angle_alpha 90.00
_cell_angle_beta 90.00
_cell_angle_gamma 90.00
loop_
_symmetry_equiv_pos_as_xyz
'x,y,z'
'-x,-y,-z'
'-y+1/4,x+3/4,z+1/4'
'y+1/4,-x+3/4,-z+1/4'
'-x+1/2,-y,z+1/2'
'x+1/2,y,-z+1/2'
'y+1/4,-x+1/4,z+3/4'
'-y+1/4,x+1/4,-z+3/4'
'x,-y,-z'
'-x,y,z'
'-y+1/4,-x+1/4,-z+3/4'
'y+1/4,x+1/4,z+3/4'
'-x+1/2,y,-z+1/2'
'x+1/2,-y,z+1/2'
'y+1/4,x+3/4,-z+1/4'
'-y+1/4,-x+3/4,z+1/4'
'x+1/2,y+1/2,z+1/2'
'-x+1/2,-y+1/2,-z+1/2'
'-y+3/4,x+1/4,z+3/4'
'y+3/4,-x+1/4,-z+3/4'
'-x,-y+1/2,z'
'x,y+1/2,-z'
'y+3/4,-x+3/4,z+1/4'
'-y+3/4,x+3/4,-z+1/4'
'x+1/2,-y+1/2,-z+1/2'
'-x+1/2,y+1/2,z+1/2'
'-y+3/4,-x+3/4,-z+1/4'
'y+3/4,x+3/4,z+1/4'
'-x,y+1/2,-z'
'x,-y+1/2,z'
'y+3/4,x+1/4,-z+3/4'
'-y+3/4,-x+1/4,z+3/4'
loop_
_atom_site_label
_atom_site_fract_x
_atom_site_fract_y
_atom_site_fract_z
Ca1 0.000 0.250 0.051
Ac1 0.000 0.250 0.179
Ru1 0.000 0.250 0.375
# DFT formation energy = 0.20 eV/f.u.
# Polymorph energy (0 for the lowest one) = 2.98 kcal/mol of atoms
# Magnetic moment = 0.00 μB/cell

***

7.
# CuRuNO2 PBE relaxed
data_CuRuNO2
_symmetry_space_group_name_H-M 'P 4/m m m'
_symmetry_Int_Tables_number 123
_symmetry_space_group_name_Hall '-P 4 2'
_cell_length_a 3.896
_cell_length_b 3.896
_cell_length_c 3.765
_cell_angle_alpha 90.00
_cell_angle_beta 90.00
_cell_angle_gamma 90.00
loop_
_atom_site_label
_atom_site_fract_x
_atom_site_fract_y
_atom_site_fract_z
Cu1 0.000 0.000 0.000
Ru1 0.500 0.500 0.500
N1 0.500 0.500 0.000
O1 0.000 0.500 0.500
# Formation energy without anion corrections = 0.27 eV per atom
# Magnetic moment = 0.00 μB/cell

***

8.
# TaCu2Rh PBE relaxed
data_TaCu2Rh
_symmetry_space_group_name_H-M 'P 4/m m m'
_symmetry_Int_Tables_number 123
_symmetry_space_group_name_Hall '-P 4 2'
_cell_length_a 3.752
_cell_length_b 3.752
_cell_length_c 4.024
_cell_angle_alpha 90.00
_cell_angle_beta 90.00
_cell_angle_gamma 90.00
loop_
_atom_site_label
_atom_site_fract_x
_atom_site_fract_y
_atom_site_fract_z
Ta1 0.000 0.000 0.000
Cu1 0.000 0.500 0.500
Rh1 0.500 0.500 0.000
# DFT formation energy = -0.08 eV/f.u.
# Magnetic moment = 0.00 μB/cell

***

Copy entry 3 word for word.
# SnAs2O7 PBE relaxed
data_SnAs2O7
_symmetry_space_group_name_H-M 'P 1 21/c 1'
_symmetry_Int_Tables_number 14
_cell_length_a 6.572
_cell_length_b 9.927
_cell_length_c 9.289
_cell_angle_alpha 90.00
_cell_angle_beta 98.17
_cell_angle_gamma 90.00
loop_
_symmetry_equiv_pos_as_xyz
'x,y,z'
'-x,-y,-z'
'-x,y+1/2,-z+1/2'
'x,-y+1/2,z+1/2'
loop_
_atom_site_label
_atom_site_fract_x
_atom_site_fract_y
_atom_site_fract_z
Sn1 0.168 0.080 0.265
As1 0.058 0.687 0.955
As2 0.385 0.709 0.740
O1 0.010 0.598 0.790
O2 0.016 0.145 0.077
O3 0.158 0.114 0.478
O4 0.187 0.686 0.148
O5 0.338 0.719 0.920
O6 0.378 0.236 0.277
O7 0.380 0.543 0.687
# Formation energy without anion corrections = -1.17 eV per atom
# Magnetic moment = 0.00 μB/cell